Density functional theory data (GGA-PBE) for a relaxed structure of Na2BiF4. Values from VASP.

Cell and atoms, written as Quantum ESPRESSO input:
```
&SYSTEM
  ibrav = 0, nat = 14, ntyp = 3
/
ATOMIC_SPECIES
F 19.00 F.upf
Na 22.99 Na.upf
Bi 208.98 Bi.upf
ATOMIC_POSITIONS crystal
F 0.774 0.548 0.383
F 0.226 0.452 0.883
F 0.500 0.000 0.500
F 0.064 0.129 0.250
F 0.774 0.548 0.117
F 0.936 0.871 0.750
F 0.226 0.452 0.617
F 0.500 0.000 0.000
Na 0.135 0.270 0.436
Na 0.865 0.730 0.936
Na 0.135 0.270 0.064
Na 0.865 0.730 0.564
Bi 0.600 0.200 0.750
Bi 0.400 0.800 0.250
CELL_PARAMETERS angstrom
3.095 0.000 0.000
-1.548 6.033 0.000
0.000 0.000 10.953
```

Properties
Magnetization: 0.00 μB per cell
Energy relative to the elements, uncorrected: -52.73 kcal/mol of atoms
Crystal system: orthorhombic
Raw total energy: -4.29 eV per atom


Density functional theory data (GGA-PBE) for a relaxed structure of Na2Bi2F7. Values from VASP.

Cell and atoms, written as Quantum ESPRESSO input:
```
&SYSTEM
  ibrav = 0, nat = 11, ntyp = 3
/
ATOMIC_SPECIES
F 19.00 F.upf
Bi 208.98 Bi.upf
Na 22.99 Na.upf
ATOMIC_POSITIONS crystal
F 0.000 0.000 0.000
F 0.500 0.731 0.000
F 0.000 0.731 0.500
F 0.500 0.269 0.000
F 0.500 0.744 0.500
F 0.000 0.269 0.500
F 0.500 0.256 0.500
Bi 0.239 0.500 0.239
Bi 0.761 0.500 0.761
Na 0.271 0.000 0.729
Na 0.729 0.000 0.271
CELL_PARAMETERS angstrom
-2.498 3.667 -3.255
3.025 -1.800 -4.349
-3.733 -3.925 -0.972
```

Properties
Magnetization: 0.77 μB per cell
Energy relative to the elements, uncorrected: -53.84 kcal/mol of atoms
Crystal system: orthorhombic
Raw total energy: -4.47 eV per atom


Density functional theory data (GGA-PBE) for a relaxed structure of Na3BiF6. Values from VASP.

Cell and atoms, written as Quantum ESPRESSO input:
```
&SYSTEM
  ibrav = 0, nat = 10, ntyp = 3
/
ATOMIC_SPECIES
F 19.00 F.upf
Na 22.99 Na.upf
Bi 208.98 Bi.upf
ATOMIC_POSITIONS crystal
F 0.252 0.252 0.748
F 0.748 0.252 0.252
F 0.252 0.748 0.748
F 0.748 0.748 0.252
F 0.252 0.748 0.252
F 0.748 0.252 0.748
Na 0.750 0.750 0.750
Na 0.500 0.500 0.500
Na 0.250 0.250 0.250
Bi 0.000 0.000 0.000
CELL_PARAMETERS angstrom
5.420 -1.116 -3.051
3.564 -4.966 1.604
0.467 -4.947 -3.904
```

Properties
Magnetization: 0.00 μB per cell
Energy relative to the elements, uncorrected: -56.92 kcal/mol of atoms
Crystal system: cubic
Energy above the most stable polymorph in this dataset: 0.1604 eV per atom
Raw total energy: -4.37 eV per atom